First-principles (GGA-PBE) data for a geometry-optimized DyEr2Tm12 structure, as listed in Alexandria.

Structure (POSCAR):
```
DyEr2Tm12
1.0
6.449 1.407 -0.244
1.407 6.449 0.244
-0.138 0.138 23.092
Dy Er Tm
2 4 24
direct
0.500 0.000 0.000
0.000 0.500 0.000
0.571 0.929 0.285
0.071 0.429 0.285
0.929 0.571 0.715
0.429 0.071 0.715
0.701 0.299 0.807
0.201 0.799 0.807
0.713 0.787 0.853
0.481 0.518 0.933
0.080 0.920 0.322
0.019 0.982 0.067
0.639 0.360 0.557
0.580 0.420 0.322
0.213 0.287 0.852
0.787 0.713 0.147
0.144 0.356 0.576
0.861 0.140 0.443
0.920 0.080 0.678
0.356 0.144 0.424
0.287 0.213 0.148
0.855 0.645 0.424
0.645 0.855 0.576
0.799 0.201 0.193
0.140 0.861 0.557
0.420 0.580 0.678
0.982 0.019 0.933
0.299 0.701 0.193
0.360 0.639 0.443
0.518 0.481 0.067
```

Density of states at the Fermi level = 49.45 states/eV/cell
ΔE_f = 74.1 meV per atom
Crystal system = monoclinic
SG = P2/m (10)
Density = 9.171 Mg/m³
Final energy = -66.275 eV/f.u.